GeSeO2 | PBEsol | optimized geometry

Output
Uncorrected formation energy ... 0.254 eV per atom

abc: 5.761 5.761 5.761
angles: 90.00 90.00 90.00
Space group Fm-3m (No. 225)
Symmetry-distinct sites (fractional):
1 Ge 0.000 0.000 0.000 [4 per cell]
2 Se 0.000 0.000 0.500 [4 per cell]
3 O 0.250 0.250 0.250 [8 per cell]

SnGeSe2O | PBEsol | optimized geometry

Output
Uncorrected formation energy ... 1.067 eV per atom

abc: 5.167 5.167 5.406
angles: 90.00 90.00 90.00
Space group P4/mmm (No. 123)
Symmetry-distinct sites (fractional):
1 Sn 0.000 0.000 0.000 [1 per cell]
2 Ge 0.000 0.000 0.500 [1 per cell]
3 Se 0.000 0.500 0.000 [2 per cell]
4 O 0.500 0.500 0.500 [1 per cell]